[1]
Computed, not measured: crystalline CaNi2W at its relaxed geometry at the PBE-GGA level of DFT.

Computed properties:
Total magnetization = 0.00 μB per atom
Total DFT energy (no corrections) = -25.268 eV/cell

extended XYZ file:
```
4
Lattice="4.060 -1.384 0.000 4.060 1.384 0.000 -0.767 0.000 6.153" Properties=species:S:1:pos:R:3 pbc="T T T"
Ca 0.000 0.000 0.000
Ni 1.476 0.000 4.137
Ni 5.876 0.000 2.016
W 3.676 0.000 3.077
```



[2]
Computed, not measured: crystalline GePO3 at its relaxed geometry at the PBE-GGA level of DFT.

Computed properties:
Total magnetization = 0.00 μB per atom
Formation energy without anion corrections = -815 meV/atom

extended XYZ file:
```
5
Lattice="3.679 0.000 0.000 0.000 3.679 0.000 0.000 0.000 3.679" Properties=species:S:1:pos:R:3 pbc="T T T"
Ge 0.000 0.000 0.000
P 1.839 1.839 1.839
O 0.000 1.839 1.839
O 1.839 0.000 1.839
O 1.839 1.839 0.000
```



[3]
Computed, not measured: crystalline La5ErTh at its relaxed geometry at the PBE-GGA level of DFT.

Computed properties:
Total magnetization = 0.00 μB per atom
Total DFT energy (no corrections) = -35.321 eV/cell

extended XYZ file:
```
7
Lattice="6.399 0.000 0.000 -2.499 5.905 0.000 -1.233 -1.881 6.695" Properties=species:S:1:pos:R:3 pbc="T T T"
La 0.000 0.000 0.000
La -1.713 3.020 1.879
La -0.789 4.429 4.813
La 3.455 -0.405 1.882
La 4.379 1.004 4.816
Er 1.950 2.952 0.000
Th 1.333 2.012 3.348
```



Q: What is the total magnetization in the first record?
A: 0.00 μB per atom



Repeat the first record exactly.
Computed, not measured: crystalline CaNi2W at its relaxed geometry at the PBE-GGA level of DFT.

Computed properties:
Total magnetization = 0.00 μB per atom
Total DFT energy (no corrections) = -25.268 eV/cell

extended XYZ file:
```
4
Lattice="4.060 -1.384 0.000 4.060 1.384 0.000 -0.767 0.000 6.153" Properties=species:S:1:pos:R:3 pbc="T T T"
Ca 0.000 0.000 0.000
Ni 1.476 0.000 4.137
Ni 5.876 0.000 2.016
W 3.676 0.000 3.077
```